No. 1
ZrReRu2 | the Alexandria database | GGA-PBE | relaxed; density of states at the Fermi level = 4.13 states/eV per cell; total magnetization = 0.000 μB/atom; energy of formation from the pure elements = 57 meV/atom; space group = Imm2, No. 44; ΔE to the lowest computed polymorph = 0.1376 eV per atom
1.0
-1.575 2.251 4.542
1.575 -2.251 4.542
1.575 2.251 -4.542
Zr Re Ru
1 1 2
direct
0.000 0.000 0.000
0.248 0.748 0.500
0.485 0.485 0.000
0.754 0.254 0.500

No. 2
CeDyTlIr | the Alexandria database | GGA-PBE | relaxed; density of states at the Fermi level = 5.67 states/eV per cell; total magnetization = 0.178 μB/atom; energy of formation from the pure elements = -554 meV/atom; space group = P4mm, No. 99; ΔE to the lowest computed polymorph = 0.0000 eV per atom
1.0
3.458 0.000 0.000
0.000 3.458 0.000
0.000 0.000 8.232
Ce Dy Tl Ir
1 1 1 1
direct
0.000 0.000 0.000
0.000 0.000 0.586
0.500 0.500 0.299
0.500 0.500 0.788

No. 3
SmDyNiPt | the Alexandria database | GGA-PBE | relaxed; density of states at the Fermi level = 2.56 states/eV per cell; total magnetization = 0.000 μB/atom; energy of formation from the pure elements = -826 meV/atom; space group = Amm2, No. 38
1.0
4.388 0.000 0.000
0.000 1.934 5.171
0.000 -1.934 5.171
Sm Dy Ni Pt
1 1 1 1
direct
0.000 0.000 0.000
0.500 0.720 0.720
0.000 0.278 0.278
0.500 0.434 0.434

No. 4
MgFeS2Cl | the Alexandria database | GGA-PBE | relaxed; density of states at the Fermi level = 4.89 states/eV per cell; total magnetization = 0.861 μB/atom; space group = P4/mmm, No. 123; energy relative to the elements, uncorrected = 178 meV per atom; ΔE to the lowest computed polymorph = 0.4252 eV per atom
1.0
4.825 0.000 0.000
0.000 4.825 0.000
0.000 0.000 4.674
Mg Fe S Cl
1 1 2 1
direct
0.000 0.000 0.000
0.500 0.500 0.500
0.000 0.500 0.000
0.500 0.000 0.000
0.000 0.000 0.500

No. 5
TbNdAlAg | the Alexandria database | GGA-PBE | relaxed; density of states at the Fermi level = 3.69 states/eV per cell; total magnetization = 0.000 μB/atom; energy of formation from the pure elements = -337 meV/atom; space group = P4mm, No. 99; ΔE to the lowest computed polymorph = 0.0000 eV per atom
1.0
3.614 0.000 0.000
0.000 3.614 0.000
0.000 0.000 7.698
Tb Nd Al Ag
1 1 1 1
direct
0.000 0.000 0.000
0.000 0.000 0.495
0.500 0.500 0.239
0.500 0.500 0.773